Entry 1:
An optimized crystal structure of KZrCS2, computed with PBE.

Summary:
The value obtained for the magnetization is 0.0 μB/f.u. For the calculated total energy, the calculation gives -5.597 eV/atom. The formation energy from raw total energies comes out at -0.172 eV/atom. As for the calculated density: 3.0 g cm⁻³.

abc: 5.0990 4.4555 5.0990
angles: 90.00 90.00 90.00
With the nearest neighbours (Å) after each atom.
Element x y z (fractional)
1 S 0.5000 0.0000 0.0000  2 Zr 2.55
2 K 0.5000 0.5000 0.5000  8 S 3.39, 4 C 3.61
3 Zr 0.0000 0.0000 0.0000  2 C 2.23
4 C 0.0000 0.5000 0.0000  2 Zr 2.23
5 S 0.0000 0.0000 0.5000  2 Zr 2.55

Entry 2:
An optimized crystal structure of NaLiB2H8, computed with PBE.

Summary:
The value obtained for the magnetization is 0.0 μB/f.u. For the calculated total energy, the calculation gives -3.942 eV/atom. As for the calculated density: 1.0 g cm⁻³.

abc: 4.1064 4.1064 6.7882
angles: 90.00 90.00 120.00
With the nearest neighbours (Å) after each atom.
Element x y z (fractional)
1 H 0.3333 0.6667 0.9239  1 B 1.23
2 H 0.0463 0.3880 0.6869  1 B 1.22
3 H 0.6667 0.3333 0.0761  1 B 1.23
4 H 0.6120 0.6583 0.6869  1 B 1.22
5 H 0.3417 0.9537 0.6869  1 B 1.22
6 B 0.3333 0.6667 0.7430  4 H 1.22-1.23
7 Li 0.0000 0.0000 0.5000  6 H 1.97
8 Na 0.0000 0.0000 0.0000  12 H 2.43-2.61
9 B 0.6667 0.3333 0.2570  4 H 1.22-1.23
10 H 0.9537 0.6120 0.3131  1 B 1.22
11 H 0.3880 0.3417 0.3131  1 B 1.22
12 H 0.6583 0.0463 0.3131  1 B 1.22

Entry 3:
An optimized crystal structure of ErScCI, computed with PBE.

Summary:
The value obtained for the magnetization is 0.0 μB/f.u. For the calculated total energy, the calculation gives -6.145 eV/atom. The formation energy from raw total energies comes out at -0.727 eV/atom. As for the calculated density: 7.1 g cm⁻³.

abc: 3.6501 3.6500 7.4301
angles: 90.00 104.22 120.00
With the nearest neighbours (Å) after each atom.
Element x y z (fractional)
1 Sc 0.0782 0.9370 0.0305  3 C 2.35
2 I 0.9621 0.3791 0.3562  3 Sc 3.13, 3 Er 3.22
3 C 0.3141 0.5550 0.8845  3 Sc 2.35, 3 Er 2.49
4 Er 0.5235 0.1597 0.6984  3 C 2.49

Entry 4:
An optimized crystal structure of TcAgRh3, computed with PBE.

Summary:
The value obtained for the magnetization is 0.0 μB/f.u. For the calculated total energy, the calculation gives -5.926 eV/atom. As for the calculated density: 8.5 g cm⁻³.

abc: 4.6569 4.6569 4.6569
angles: 90.00 90.00 90.00
With the nearest neighbours (Å) after each atom.
Element x y z (fractional)
1 Ag 0.5000 0.5000 0.5000  12 Rh 3.29
2 Rh 0.0000 0.5000 0.0000  2 Tc 2.33
3 Tc 0.0000 0.0000 0.0000  6 Rh 2.33
4 Rh 0.5000 0.0000 0.0000  2 Tc 2.33
5 Rh 0.0000 0.0000 0.5000  2 Tc 2.33

Entry 5:
An optimized crystal structure of NpTiPt, computed with PBE.

Summary:
The value obtained for the magnetization is 2.0 μB/f.u. For the calculated total energy, the calculation gives -9.291 eV/atom. As for the calculated density: 14.6 g cm⁻³.

abc: 3.6729 3.6729 8.0692
angles: 90.00 90.00 90.00
With the nearest neighbours (Å) after each atom.
Element x y z (fractional)
1 Ti 0.5000 0.0000 0.8762  5 Pt 2.54-2.65
2 Ti 0.0000 0.5000 0.1238  5 Pt 2.54-2.65
3 Np 0.0000 0.0000 0.5000  4 Np 2.60
4 Pt 0.0000 0.5000 0.8093  5 Ti 2.54-2.65
5 Np 0.5000 0.5000 0.5000  4 Np 2.60
6 Pt 0.5000 0.0000 0.1907  5 Ti 2.54-2.65

Entry 6:
An optimized crystal structure of ReSn2I2, computed with PBE.

Summary:
The value obtained for the magnetization is 3.0 μB/f.u. For the calculated total energy, the calculation gives -4.066 eV/atom. The formation energy from raw total energies comes out at 0.645 eV/atom. As for the calculated density: 6.4 g cm⁻³.

abc: 7.6919 7.6919 5.9301
angles: 90.00 90.00 90.00
With the nearest neighbours (Å) after each atom.
Element x y z (fractional)
1 Sn 0.2446 0.2554 0.0000  2 Re 2.72
2 I 0.6831 0.8169 0.5000  2 Sn 3.07
3 Sn 0.7554 0.7446 0.0000  2 Re 2.72
4 Sn 0.7446 0.2446 0.0000  2 Re 2.72
5 I 0.1831 0.6831 0.5000  2 Sn 3.07
6 Sn 0.2554 0.7554 0.0000  2 Re 2.72
7 I 0.8169 0.3169 0.5000  2 Sn 3.07
8 Re 0.0000 0.0000 0.0000  4 Sn 2.72
9 I 0.3169 0.1831 0.5000  2 Sn 3.07
10 Re 0.5000 0.5000 0.0000  4 Sn 2.72

Entry 7:
An optimized crystal structure of NdHoRhPb, computed with PBE.

Summary:
The value obtained for the magnetization is 0.0 μB/f.u. For the calculated total energy, the calculation gives -5.570 eV/atom. As for the calculated density: 10.2 g cm⁻³.

abc: 5.2245 5.2245 5.2245
angles: 60.00 60.00 60.00
With the nearest neighbours (Å) after each atom.
Element x y z (fractional)
1 Nd 0.7500 0.7500 0.7500  4 Pb 3.20, 4 Rh 3.20
2 Rh 0.0000 0.0000 0.0000  4 Nd 3.20, 4 Ho 3.20
3 Ho 0.2500 0.2500 0.2500  4 Pb 3.20, 4 Rh 3.20
4 Pb 0.5000 0.5000 0.5000  4 Ho 3.20, 4 Nd 3.20

Entry 8:
An optimized crystal structure of Li3Si4Au2, computed with PBE.

Summary:
The value obtained for the magnetization is 0.0 μB/f.u. For the calculated total energy, the calculation gives -4.082 eV/atom. The formation energy from raw total energies comes out at -0.305 eV/atom. As for the calculated density: 6.0 g cm⁻³.

abc: 4.1787 5.3624 7.4682
angles: 73.70 73.75 67.07
With the nearest neighbours (Å) after each atom.
Element x y z (fractional)
1 Au 0.6031 0.0607 0.7332  3 Si 2.48-2.49, 1 Li 2.68
2 Li 0.3220 0.7177 0.6383  3 Au 2.68-2.85, 6 Si 2.83-2.96
3 Si 0.2425 0.4237 0.0913  3 Si 2.44-2.50, 1 Au 2.48
4 Si 0.0124 0.3299 0.6453  2 Si 2.41-2.44, 2 Au 2.49
5 Si 0.7575 0.5763 0.9087  3 Si 2.44-2.50, 1 Au 2.48
6 Li 0.0000 0.0000 0.0000  4 Si 2.74-2.79, 4 Au 2.81
7 Si 0.9876 0.6701 0.3547  2 Si 2.41-2.44, 2 Au 2.49
8 Li 0.6780 0.2823 0.3617  3 Au 2.68-2.85, 6 Si 2.83-2.96
9 Au 0.3969 0.9393 0.2668  3 Si 2.48-2.49, 1 Li 2.68

Entry 9:
An optimized crystal structure of Zr2BeNi, computed with PBE.

Summary:
The value obtained for the magnetization is 2.0 μB/f.u. For the calculated total energy, the calculation gives -6.407 eV/atom. As for the calculated density: 6.4 g cm⁻³.

abc: 4.5214 4.5214 4.5214
angles: 60.00 60.00 60.00
With the nearest neighbours (Å) after each atom.
Element x y z (fractional)
1 Zr 0.0000 0.0000 0.0000  4 Ni 2.77, 4 Zr 2.77
2 Be 0.5000 0.5000 0.5000  4 Zr 2.77, 4 Ni 2.77
3 Zr 0.2500 0.2500 0.2500  4 Zr 2.77, 4 Be 2.77
4 Ni 0.7500 0.7500 0.7500  4 Zr 2.77, 4 Be 2.77

Entry 10:
An optimized crystal structure of LiErTmTl, computed with PBE.

Summary:
The value obtained for the magnetization is 0.0 μB/f.u. For the calculated total energy, the calculation gives -3.505 eV/atom. As for the calculated density: 9.0 g cm⁻³.

abc: 5.2233 5.2233 5.2233
angles: 60.00 60.00 60.00
With the nearest neighbours (Å) after each atom.
Element x y z (fractional)
1 Li 0.0000 0.0000 0.0000  4 Tm 3.20, 4 Er 3.20
2 Tm 0.2500 0.2500 0.2500  4 Tl 3.20, 4 Li 3.20
3 Tl 0.5000 0.5000 0.5000  4 Er 3.20, 4 Tm 3.20
4 Er 0.7500 0.7500 0.7500  4 Tl 3.20, 4 Li 3.20

Entry 11:
An optimized crystal structure of AlCdW4, computed with PBE.

Summary:
The value obtained for the magnetization is 0.0 μB/f.u. For the calculated total energy, the calculation gives -8.790 eV/atom. As for the calculated density: 13.5 g cm⁻³.

abc: 5.3436 5.3436 5.3436
angles: 60.00 60.00 60.00
With the nearest neighbours (Å) after each atom.
Element x y z (fractional)
1 W 0.3745 0.3745 0.3745  6 W 2.66-2.68
2 W 0.3745 0.8765 0.3745  6 W 2.66-2.68
3 W 0.3745 0.3745 0.8765  6 W 2.66-2.68
4 Al 0.7500 0.7500 0.7500  12 W 3.13, 4 Cd 3.27
5 W 0.8765 0.3745 0.3745  6 W 2.66-2.68
6 Cd 0.0000 0.0000 0.0000  12 W 3.13, 4 Al 3.27

Entry 12:
An optimized crystal structure of Ac2TiGa4Pt3, computed with PBE.

Summary:
The value obtained for the magnetization is 0.0 μB/f.u. For the calculated total energy, the calculation gives -5.475 eV/atom. As for the calculated density: 10.8 g cm⁻³.

abc: 4.3389 4.3389 11.1617
angles: 90.00 90.00 90.00
With the nearest neighbours (Å) after each atom.
Element x y z (fractional)
1 Ac 0.5000 0.0000 0.2468  8 Ga 3.33-3.51, 6 Pt 3.34-3.56, 2 Ti 3.56
2 Ga 0.0000 0.5000 0.3637  3 Pt 2.62-2.65, 2 Ti 2.65
3 Ga 0.5000 0.0000 0.6363  3 Pt 2.62-2.65, 2 Ti 2.65
4 Pt 0.0000 0.0000 0.5000  4 Ga 2.65
5 Ga 0.5000 0.5000 0.0000  4 Pt 2.60
6 Ac 0.0000 0.5000 0.7532  8 Ga 3.33-3.51, 6 Pt 3.34-3.56, 2 Ti 3.56
7 Ga 0.0000 0.0000 0.0000  4 Pt 2.60
8 Pt 0.0000 0.5000 0.1288  5 Ga 2.60-2.62
9 Pt 0.5000 0.0000 0.8712  5 Ga 2.60-2.62
10 Ti 0.5000 0.5000 0.5000  4 Ga 2.65

Entry 13:
An optimized crystal structure of Hf6FeN, computed with PBE.

Summary:
The value obtained for the magnetization is 0.0 μB/f.u. For the calculated total energy, the calculation gives -9.945 eV/atom. The formation energy from raw total energies comes out at -0.381 eV/atom. As for the calculated density: 12.5 g cm⁻³.

abc: 5.6891 5.6936 6.3289
angles: 63.34 63.39 60.02
With the nearest neighbours (Å) after each atom.
Element x y z (fractional)
1 Hf 0.0614 0.4102 0.7613  1 N 2.24, 1 Fe 2.46
2 Fe 0.5000 0.5000 0.5000  6 Hf 2.46
3 Hf 0.4101 0.7668 0.7615  1 N 2.24, 1 Fe 2.46
4 Hf 0.7669 0.0608 0.7612  1 N 2.24, 1 Fe 2.46
5 Hf 0.9386 0.5898 0.2387  1 N 2.24, 1 Fe 2.46
6 N 0.0000 0.0000 0.0000  6 Hf 2.24
7 Hf 0.5899 0.2332 0.2385  1 N 2.24, 1 Fe 2.46
8 Hf 0.2331 0.9392 0.2388  1 N 2.24, 1 Fe 2.46